(1)
Computed, not measured: a geometry-optimized AlTlCr2 structure at the PBE level of DFT.

Cell: 4.675 3.164 5.291 Å, 90.00 111.09 90.00°
Fractional coordinates of all 4 atoms:
Al 0.000 0.000 0.000
Tl 0.000 0.500 0.500
Cr 0.500 0.000 0.500
Cr 0.500 0.500 0.000

Calculated values
energy relative to the elements = 0.6059 eV/atom
calculated volume = 18.25 A^3/atom
density of states at the Fermi level = 4.1 states/eV per cell
space group = P2/m, No. 10



(2)
Computed, not measured: a geometry-optimized Al3TlCr structure at the PBE level of DFT.

Cell: 4.832 4.832 4.832 Å, 90.00 90.00 90.00°
Fractional coordinates of all 5 atoms:
Al 0.000 0.000 0.500
Al 0.000 0.500 0.000
Al 0.500 0.000 0.000
Tl 0.500 0.500 0.500
Cr 0.000 0.000 0.000

Calculated values
energy relative to the elements = 0.4544 eV/atom
E above lowest polymorph = 0 meV/atom
calculated volume = 22.56 A^3/atom
density of states at the Fermi level = 6.1 states/eV per cell
space group = Pm-3m, No. 221



(3)
Computed, not measured: a geometry-optimized AlTlCr2 structure at the PBE level of DFT.

Cell: 6.474 6.474 6.474 Å, 90.00 90.00 90.00°
Fractional coordinates of all 16 atoms:
Al 0.000 0.000 0.000
Al 0.000 0.500 0.500
Al 0.500 0.000 0.500
Al 0.500 0.500 0.000
Tl 0.250 0.250 0.750
Tl 0.250 0.750 0.250
Tl 0.750 0.250 0.250
Tl 0.750 0.750 0.750
Cr 0.000 0.000 0.500
Cr 0.000 0.500 0.000
Cr 0.250 0.250 0.250
Cr 0.250 0.750 0.750
Cr 0.500 0.000 0.000
Cr 0.500 0.500 0.500
Cr 0.750 0.250 0.750
Cr 0.750 0.750 0.250

Calculated values
energy relative to the elements = 0.4855 eV/atom
calculated volume = 16.96 A^3/atom
density of states at the Fermi level = 7.4 states/eV per cell
space group = F-43m, No. 216



(4)
Computed, not measured: a geometry-optimized TmAl8Cr2 structure at the PBE level of DFT.

Cell: 6.758 6.758 4.869 Å, 98.69 98.69 113.01°
Fractional coordinates of all 11 atoms:
Tm 0.000 0.000 0.000
Al 0.095 0.328 0.596
Al 0.274 0.726 0.000
Al 0.328 0.095 0.596
Al 0.411 0.411 0.230
Al 0.589 0.589 0.770
Al 0.672 0.905 0.404
Al 0.726 0.274 0.000
Al 0.905 0.672 0.404
Cr 0.293 0.707 0.500
Cr 0.707 0.293 0.500

Calculated values
energy relative to the elements = 0.0514 eV/atom
calculated volume = 17.90 A^3/atom
density of states at the Fermi level = 5.1 states/eV per cell
space group = C2/m, No. 12



(5)
Computed, not measured: a geometry-optimized TmAl6Cr6 structure at the PBE level of DFT.

Cell: 6.673 6.673 6.673 Å, 135.54 98.86 97.60°
Fractional coordinates of all 13 atoms:
Tm 0.000 0.000 0.000
Al 0.192 0.500 0.692
Al 0.332 0.332 0.000
Al 0.345 0.000 0.345
Al 0.655 0.000 0.655
Al 0.668 0.668 0.000
Al 0.808 0.500 0.308
Cr 0.000 0.000 0.500
Cr 0.000 0.500 0.000
Cr 0.241 0.741 0.500
Cr 0.500 0.000 0.000
Cr 0.500 0.500 0.500
Cr 0.759 0.259 0.500

Calculated values
energy relative to the elements = -0.1327 eV/atom
calculated volume = 14.81 A^3/atom
density of states at the Fermi level = 8.6 states/eV per cell
space group = Immm, No. 71



(6)
Computed, not measured: a geometry-optimized TmAlCr structure at the PBE level of DFT.

Cell: 6.549 6.549 4.665 Å, 90.00 90.00 120.00°
Fractional coordinates of all 9 atoms:
Tm 0.000 0.553 0.000
Tm 0.447 0.447 0.000
Tm 0.553 0.000 0.000
Al 0.000 0.000 0.000
Al 0.333 0.667 0.500
Al 0.667 0.333 0.500
Cr 0.000 0.192 0.500
Cr 0.192 0.000 0.500
Cr 0.808 0.808 0.500

Calculated values
energy relative to the elements = -0.0059 eV/atom
calculated volume = 19.26 A^3/atom
density of states at the Fermi level = 6.2 states/eV per cell
space group = P-62m, No. 189



(7)
Computed, not measured: a geometry-optimized TmAl8Cr4 structure at the PBE level of DFT.

Cell: 6.765 6.765 6.765 Å, 98.03 98.03 136.10°
Fractional coordinates of all 13 atoms:
Tm 0.000 0.000 0.000
Al 0.000 0.335 0.335
Al 0.000 0.665 0.665
Al 0.278 0.500 0.778
Al 0.335 0.000 0.335
Al 0.500 0.278 0.778
Al 0.500 0.722 0.222
Al 0.665 0.000 0.665
Al 0.722 0.500 0.222
Cr 0.000 0.000 0.500
Cr 0.000 0.500 0.000
Cr 0.500 0.000 0.000
Cr 0.500 0.500 0.500

Calculated values
energy relative to the elements = -0.2224 eV/atom
calculated volume = 15.32 A^3/atom
density of states at the Fermi level = 9.9 states/eV per cell
space group = I4/mmm, No. 139



(8)
Computed, not measured: a geometry-optimized Tm2Al3Cr structure at the PBE level of DFT.

Cell: 5.441 5.441 5.441 Å, 60.97 60.97 60.97°
Fractional coordinates of all 6 atoms:
Tm 0.127 0.127 0.127
Tm 0.873 0.873 0.873
Al 0.000 0.500 0.500
Al 0.500 0.000 0.500
Al 0.500 0.500 0.000
Cr 0.500 0.500 0.500

Calculated values
energy relative to the elements = -0.3486 eV/atom
calculated volume = 19.40 A^3/atom
density of states at the Fermi level = 3.7 states/eV per cell
space group = R-3m, No. 166



(9)
Computed, not measured: a geometry-optimized TmAl2Cr structure at the PBE level of DFT.

Cell: 3.139 3.139 27.189 Å, 90.00 90.00 120.00°
Fractional coordinates of all 12 atoms:
Tm 0.000 0.000 0.000
Tm 0.333 0.667 0.667
Tm 0.667 0.333 0.333
Al 0.000 0.000 0.239
Al 0.000 0.000 0.761
Al 0.333 0.667 0.428
Al 0.333 0.667 0.906
Al 0.667 0.333 0.094
Al 0.667 0.333 0.572
Cr 0.000 0.000 0.500
Cr 0.333 0.667 0.167
Cr 0.667 0.333 0.833

Calculated values
energy relative to the elements = 0.1729 eV/atom
calculated volume = 19.34 A^3/atom
density of states at the Fermi level = 9.9 states/eV per cell
space group = R-3m, No. 166



(10)
Computed, not measured: a geometry-optimized YTmAlCr structure at the PBE level of DFT.

Cell: 7.172 7.172 7.172 Å, 90.00 90.00 90.00°
Fractional coordinates of all 16 atoms:
Y 0.000 0.000 0.000
Y 0.000 0.500 0.500
Y 0.500 0.000 0.500
Y 0.500 0.500 0.000
Tm 0.000 0.000 0.500
Tm 0.000 0.500 0.000
Tm 0.500 0.000 0.000
Tm 0.500 0.500 0.500
Al 0.250 0.250 0.250
Al 0.250 0.750 0.750
Al 0.750 0.250 0.750
Al 0.750 0.750 0.250
Cr 0.250 0.250 0.750
Cr 0.250 0.750 0.250
Cr 0.750 0.250 0.250
Cr 0.750 0.750 0.750

Calculated values
energy relative to the elements = -0.0352 eV/atom
calculated volume = 23.06 A^3/atom
density of states at the Fermi level = 11.4 states/eV per cell
space group = F-43m, No. 216



(11)
Computed, not measured: a geometry-optimized U2AlCr structure at the PBE level of DFT.

Cell: 2.889 2.889 31.100 Å, 90.00 90.00 120.00°
Fractional coordinates of all 12 atoms:
U 0.000 0.000 0.096
U 0.000 0.000 0.904
U 0.333 0.667 0.571
U 0.333 0.667 0.763
U 0.667 0.333 0.237
U 0.667 0.333 0.429
Al 0.000 0.000 0.000
Al 0.333 0.667 0.667
Al 0.667 0.333 0.333
Cr 0.000 0.000 0.500
Cr 0.333 0.667 0.167
Cr 0.667 0.333 0.833

Calculated values
energy relative to the elements = 0.4893 eV/atom
calculated volume = 18.73 A^3/atom
density of states at the Fermi level = 25.0 states/eV per cell
space group = R-3m, No. 166



(12)
Computed, not measured: a geometry-optimized UAl20Cr2 structure at the PBE level of DFT.

Cell: 10.158 10.158 10.158 Å, 60.00 60.00 60.00°
Fractional coordinates of all 46 atoms:
U 0.125 0.125 0.125
U 0.875 0.875 0.875
Al 0.000 0.000 0.000
Al 0.000 0.000 0.500
Al 0.000 0.500 0.000
Al 0.057 0.325 0.325
Al 0.057 0.325 0.793
Al 0.057 0.793 0.325
Al 0.207 0.675 0.675
Al 0.207 0.675 0.943
Al 0.207 0.943 0.675
Al 0.239 0.239 0.511
Al 0.239 0.511 0.239
Al 0.239 0.511 0.511
Al 0.325 0.057 0.325
Al 0.325 0.057 0.793
Al 0.325 0.325 0.057
Al 0.325 0.325 0.793
Al 0.325 0.793 0.057
Al 0.325 0.793 0.325
Al 0.489 0.489 0.761
Al 0.489 0.761 0.489
Al 0.489 0.761 0.761
Al 0.500 0.000 0.000
Al 0.511 0.239 0.239
Al 0.511 0.239 0.511
Al 0.511 0.511 0.239
Al 0.675 0.207 0.675
Al 0.675 0.207 0.943
Al 0.675 0.675 0.207
Al 0.675 0.675 0.943
Al 0.675 0.943 0.207
Al 0.675 0.943 0.675
Al 0.761 0.489 0.489
Al 0.761 0.489 0.761
Al 0.761 0.761 0.489
Al 0.793 0.057 0.325
Al 0.793 0.325 0.057
Al 0.793 0.325 0.325
Al 0.943 0.207 0.675
Al 0.943 0.675 0.207
Al 0.943 0.675 0.675
Cr 0.000 0.500 0.500
Cr 0.500 0.000 0.500
Cr 0.500 0.500 0.000
Cr 0.500 0.500 0.500

Calculated values
energy relative to the elements = -0.1383 eV/atom
E above lowest polymorph = 0 meV/atom
calculated volume = 16.11 A^3/atom
density of states at the Fermi level = 33.0 states/eV per cell
space group = Fd-3m, No. 227



(13)
Computed, not measured: a geometry-optimized UAl4Cr structure at the PBE level of DFT.

Cell: 7.870 7.870 5.005 Å, 108.54 108.54 48.35°
Fractional coordinates of all 12 atoms:
U 0.210 0.210 0.209
U 0.790 0.790 0.791
Al 0.106 0.676 0.391
Al 0.187 0.813 0.000
Al 0.324 0.894 0.609
Al 0.337 0.337 0.837
Al 0.663 0.663 0.163
Al 0.676 0.106 0.391
Al 0.813 0.187 0.000
Al 0.894 0.324 0.609
Cr 0.500 0.500 0.281
Cr 0.500 0.500 0.719

Calculated values
energy relative to the elements = 0.0947 eV/atom
calculated volume = 18.10 A^3/atom
density of states at the Fermi level = 16.0 states/eV per cell
space group = C2/m, No. 12



(14)
Computed, not measured: a geometry-optimized UAl10Cr2 structure at the PBE level of DFT.

Cell: 6.840 6.840 9.074 Å, 90.00 90.00 98.01°
Fractional coordinates of all 26 atoms:
U 0.128 0.872 0.750
U 0.872 0.128 0.250
Al 0.133 0.407 0.750
Al 0.154 0.846 0.097
Al 0.154 0.846 0.403
Al 0.217 0.476 0.250
Al 0.228 0.228 0.000
Al 0.228 0.228 0.500
Al 0.374 0.626 0.544
Al 0.374 0.626 0.956
Al 0.407 0.133 0.250
Al 0.476 0.217 0.750
Al 0.524 0.783 0.250
Al 0.593 0.867 0.750
Al 0.626 0.374 0.044
Al 0.626 0.374 0.456
Al 0.772 0.772 0.000
Al 0.772 0.772 0.500
Al 0.783 0.524 0.750
Al 0.846 0.154 0.597
Al 0.846 0.154 0.903
Al 0.867 0.593 0.250
Cr 0.000 0.500 0.000
Cr 0.000 0.500 0.500
Cr 0.500 0.000 0.000
Cr 0.500 0.000 0.500

Calculated values
energy relative to the elements = -0.1359 eV/atom
calculated volume = 16.17 A^3/atom
density of states at the Fermi level = 27.3 states/eV per cell
space group = Cmcm, No. 63



(15)
Computed, not measured: a geometry-optimized UAl11Cr structure at the PBE level of DFT.

Cell: 6.887 6.887 6.979 Å, 98.17 98.17 135.25°
Fractional coordinates of all 13 atoms:
U 0.000 0.000 0.000
Al 0.000 0.500 0.000
Al 0.008 0.665 0.640
Al 0.279 0.489 0.781
Al 0.335 0.992 0.360
Al 0.489 0.279 0.781
Al 0.500 0.000 0.000
Al 0.500 0.500 0.500
Al 0.511 0.721 0.219
Al 0.665 0.008 0.640
Al 0.721 0.511 0.219
Al 0.992 0.335 0.360
Cr 0.000 0.000 0.500

Calculated values
energy relative to the elements = -0.0772 eV/atom
calculated volume = 16.63 A^3/atom
density of states at the Fermi level = 10.5 states/eV per cell
space group = C2/m, No. 12



(16)
Computed, not measured: a geometry-optimized UAl8Cr4 structure at the PBE level of DFT.

Cell: 6.770 6.770 6.770 Å, 97.86 97.86 136.60°
Fractional coordinates of all 13 atoms:
U 0.000 0.000 0.000
Al 0.000 0.342 0.342
Al 0.000 0.658 0.658
Al 0.283 0.500 0.783
Al 0.342 0.000 0.342
Al 0.500 0.283 0.783
Al 0.500 0.717 0.217
Al 0.658 0.000 0.658
Al 0.717 0.500 0.217
Cr 0.000 0.000 0.500
Cr 0.000 0.500 0.000
Cr 0.500 0.000 0.000
Cr 0.500 0.500 0.500

Calculated values
energy relative to the elements = -0.1378 eV/atom
calculated volume = 15.24 A^3/atom
density of states at the Fermi level = 11.5 states/eV per cell
space group = I4/mmm, No. 139



(17)
Computed, not measured: a geometry-optimized UAlCr2 structure at the PBE level of DFT.

Cell: 4.292 4.292 3.244 Å, 90.00 90.00 90.00°
Fractional coordinates of all 4 atoms:
U 0.000 0.000 0.000
Al 0.500 0.500 0.000
Cr 0.000 0.500 0.500
Cr 0.500 0.000 0.500

Calculated values
energy relative to the elements = 0.0553 eV/atom
calculated volume = 14.94 A^3/atom
density of states at the Fermi level = 6.6 states/eV per cell
space group = P4/mmm, No. 123



(18)
Computed, not measured: a geometry-optimized UAlCr4 structure at the PBE level of DFT.

Cell: 4.973 4.973 4.973 Å, 60.00 60.00 60.00°
Fractional coordinates of all 6 atoms:
U 0.000 0.000 0.000
Al 0.750 0.750 0.750
Cr 0.375 0.375 0.375
Cr 0.375 0.375 0.875
Cr 0.375 0.875 0.375
Cr 0.875 0.375 0.375

Calculated values
energy relative to the elements = 0.2841 eV/atom
calculated volume = 14.49 A^3/atom
density of states at the Fermi level = 11.1 states/eV per cell
space group = F-43m, No. 216



(19)
Computed, not measured: a geometry-optimized UAl20Cr2 structure at the PBE level of DFT.

Cell: 10.336 10.336 10.336 Å, 60.00 60.00 60.00°
Fractional coordinates of all 46 atoms:
U 0.125 0.125 0.125
U 0.875 0.875 0.875
Al 0.000 0.500 0.500
Al 0.056 0.321 0.321
Al 0.056 0.321 0.801
Al 0.056 0.801 0.321
Al 0.199 0.679 0.679
Al 0.199 0.679 0.944
Al 0.199 0.944 0.679
Al 0.238 0.238 0.512
Al 0.238 0.512 0.238
Al 0.238 0.512 0.512
Al 0.321 0.056 0.321
Al 0.321 0.056 0.801
Al 0.321 0.321 0.056
Al 0.321 0.321 0.801
Al 0.321 0.801 0.056
Al 0.321 0.801 0.321
Al 0.488 0.488 0.762
Al 0.488 0.762 0.488
Al 0.488 0.762 0.762
Al 0.500 0.000 0.500
Al 0.500 0.500 0.000
Al 0.500 0.500 0.500
Al 0.512 0.238 0.238
Al 0.512 0.238 0.512
Al 0.512 0.512 0.238
Al 0.679 0.199 0.679
Al 0.679 0.199 0.944
Al 0.679 0.679 0.199
Al 0.679 0.679 0.944
Al 0.679 0.944 0.199
Al 0.679 0.944 0.679
Al 0.762 0.488 0.488
Al 0.762 0.488 0.762
Al 0.762 0.762 0.488
Al 0.801 0.056 0.321
Al 0.801 0.321 0.056
Al 0.801 0.321 0.321
Al 0.944 0.199 0.679
Al 0.944 0.679 0.199
Al 0.944 0.679 0.679
Cr 0.000 0.000 0.000
Cr 0.000 0.000 0.500
Cr 0.000 0.500 0.000
Cr 0.500 0.000 0.000

Calculated values
energy relative to the elements = 0.0863 eV/atom
E above lowest polymorph = 225 meV/atom
calculated volume = 16.97 A^3/atom
density of states at the Fermi level = 28.3 states/eV per cell
space group = Fd-3m, No. 227



(20)
Computed, not measured: a geometry-optimized UAlCr structure at the PBE level of DFT.

Cell: 2.945 2.945 11.738 Å, 90.00 90.00 90.00°
Fractional coordinates of all 6 atoms:
U 0.000 0.000 0.000
U 0.500 0.500 0.500
Al 0.000 0.000 0.703
Al 0.500 0.500 0.203
Cr 0.000 0.000 0.338
Cr 0.500 0.500 0.838

Calculated values
energy relative to the elements = 0.0713 eV/atom
calculated volume = 16.97 A^3/atom
density of states at the Fermi level = 7.4 states/eV per cell
space group = I4mm, No. 107